A plane-wave DFT calculation with PBE-GGA was carried out for a relaxed structure of BaScIn2Co.

The spin magnetization is 2.0 μB/f.u. The value obtained for the calculated formation energy is 1758 meV per atom. Its crystal system is tetragonal. Its mass density is 3.77 g/cm3.

It has space group P4/mmm (No. 123), with a = 6.072 Å, b = 6.072 Å, c = 5.623 Å, α = 90.00°, β = 90.00° and γ = 90.00°. The distinct sites, in fractional coordinates, are Ba at (0.000, 0.000, 0.000), Sc at (0.000, 0.000, 0.500), In at (0.000, 0.500, 0.000) and Co at (0.500, 0.500, 0.500).